(1)
12
Lattice="4.001 0.013 -0.028 0.018 4.001 -0.028 1.899 1.896 13.590" Properties=species:S:1:pos:R:3 comment="PmMg2P2Pt7 GGA-PBE optimized geometry" mass_density_g_cm3=12.35 pbc="T T T"
Pt 2.009 2.007 -0.028
Pt 4.031 2.026 2.246
Pt 3.552 3.547 7.783
Pt 2.366 2.363 5.751
Pt 1.886 3.884 11.288
Pt 2.031 4.029 2.246
Pt 3.887 1.882 11.288
Mg 1.527 1.526 8.252
Mg 4.390 4.385 5.282
P 3.864 3.859 9.990
P 2.053 2.051 3.544
Pm 0.000 0.000 0.000

(2)
6
Lattice="4.091 0.000 0.000 -2.045 3.542 0.000 0.000 0.000 7.665" Properties=species:S:1:pos:R:3 comment="PmMgP2Pt2 GGA-PBE optimized geometry" mass_density_g_cm3=9.29 pbc="T T T"
P 0.000 2.362 5.761
P 2.045 1.181 1.905
Mg 0.000 0.000 3.833
Pt 0.000 2.362 2.159
Pt 2.045 1.181 5.506
Pm 0.000 0.000 0.000

(3)
18
Lattice="6.490 -1.377 -0.977 2.008 6.323 -0.977 2.008 1.169 6.291" Properties=species:S:1:pos:R:3 comment="Pm2MgP3Rh12 GGA-PBE optimized geometry" mass_density_g_cm3=9.22 pbc="T T T"
P 1.004 3.162 -0.488
P 3.245 -0.688 -0.488
P 1.004 0.584 3.145
Rh 7.370 1.493 1.059
Rh 3.135 4.621 3.278
Rh 4.938 5.671 1.059
Rh 2.817 1.640 3.889
Rh 2.817 4.213 0.262
Rh 7.688 4.475 0.448
Rh 5.450 5.745 4.075
Rh 5.567 3.240 -0.665
Rh 5.055 0.369 0.262
Rh 5.567 0.444 3.278
Rh 4.938 2.874 5.002
Rh 7.688 1.902 4.075
Pm 6.586 3.833 2.719
Pm 3.919 2.281 1.618
Mg 0.000 0.000 0.000

(4)
15
Lattice="6.310 0.000 0.000 -3.155 5.465 0.000 0.000 0.000 7.998" Properties=species:S:1:pos:R:3 comment="Pm3MgP2Rh9 GGA-PBE optimized geometry" mass_density_g_cm3=8.71 pbc="T T T"
Rh 1.578 2.732 0.000
Rh 0.000 1.846 2.505
Rh 1.599 0.923 5.494
Rh 3.155 0.000 0.000
Rh 3.155 3.619 5.494
Rh -1.578 2.732 0.000
Rh -1.556 4.542 2.505
Rh 1.556 4.542 2.505
Rh 4.712 0.923 5.494
P 0.000 3.643 1.295
P 3.155 1.822 6.704
Pm 3.155 1.822 2.782
Pm 0.000 3.643 5.216
Pm 0.000 0.000 0.000
Mg 0.000 0.000 3.999

Formation energy per entry: -0.72 -1.02 -0.29 -0.55 eV per atom